Record 1
The following is a DFT calculation (GGA-PBEsol) of RbTcSbTe2 after structural relaxation.

V: 30.38 Å³/atom
raw formation energy: 0.095 eV per atom

Lattice parameters (Å, degrees): 5.4655 5.4655 5.0848 90.00 90.00 90.00
With the nearest neighbours (Å) after each atom.
Space group P4/mmm (No. 123)
Inequivalent atoms, fractional coordinates:
Rb: 0.0000 0.0000 0.0000 (multiplicity 1)  8 Te 3.73, 4 Sb 3.86
Tc: 0.5000 0.5000 0.5000 (multiplicity 1)  2 Sb 2.54, 4 Te 2.73
Sb: 0.5000 0.5000 0.0000 (multiplicity 1)  2 Tc 2.54
Te: 0.0000 0.5000 0.5000 (multiplicity 2)  2 Tc 2.73


Record 2
The following is a DFT calculation (GGA-PBEsol) of TaBeNi2 after structural relaxation.

V: 12.04 Å³/atom
formation energy from the elements: -0.07 eV/atom

Lattice parameters (Å, degrees): 4.1848 4.1848 2.7498 90.00 90.00 90.00
With the nearest neighbours (Å) after each atom.
Space group P4/mmm (No. 123)
Inequivalent atoms, fractional coordinates:
Ta: 0.0000 0.0000 0.0000 (multiplicity 1)  8 Ni 2.50, 2 Ta 2.75
Be: 0.5000 0.5000 0.0000 (multiplicity 1)  8 Ni 2.50, 2 Be 2.75
Ni: 0.0000 0.5000 0.5000 (multiplicity 2)  4 Ta 2.50, 4 Be 2.50, 2 Ni 2.75


Record 3
The following is a DFT calculation (GGA-PBEsol) of Li3FeSb4O12 after structural relaxation.

V: 10.95 Å³/atom
raw formation energy: -1.539 eV per atom

Lattice parameters (Å, degrees): 5.2092 5.5416 7.6105 85.36 89.97 89.80
With the nearest neighbours (Å) after each atom.
Space group P1 (No. 1)
Inequivalent atoms, fractional coordinates:
Li: 0.0000 0.0000 0.0000 (multiplicity 1)  3 O 1.98-2.01
Li: 0.0008 0.9927 0.4922 (multiplicity 1)  3 O 1.99-2.02
Li: 0.5013 0.5124 0.9968 (multiplicity 1)  3 O 1.99-2.03
Fe: 0.4989 0.5238 0.4991 (multiplicity 1)  5 O 1.97-2.18
Sb: 0.0013 0.4295 0.7167 (multiplicity 1)  6 O 1.99-2.12
Sb: 0.5011 0.9417 0.2060 (multiplicity 1)  6 O 1.99-2.11
Sb: 0.5049 0.9409 0.7166 (multiplicity 1)  6 O 2.00-2.12
Sb: 0.9965 0.4320 0.2070 (multiplicity 1)  6 O 2.01-2.05
O: 0.1404 0.4106 0.9609 (multiplicity 1)  1 Li 1.99, 2 Sb 1.99-2.03
O: 0.1714 0.1037 0.2667 (multiplicity 1)  1 Li 1.99, 2 Sb 2.01-2.05
O: 0.2034 0.7268 0.6265 (multiplicity 1)  1 Li 2.02, 2 Sb 2.03-2.12, 1 Fe 2.18
O: 0.3144 0.2467 0.6225 (multiplicity 1)  1 Fe 1.98, 2 Sb 2.04-2.07
O: 0.3281 0.6030 0.2710 (multiplicity 1)  1 Fe 1.97, 2 Sb 2.05-2.11
O: 0.3620 0.9070 0.9620 (multiplicity 1)  1 Li 1.98, 2 Sb 2.00-2.02
O: 0.6327 0.8959 0.4564 (multiplicity 1)  1 Li 2.02, 2 Sb 2.02-2.12, 1 Fe 2.18
O: 0.6655 0.5953 0.7569 (multiplicity 1)  2 Sb 2.01-2.09, 1 Li 2.03, 1 Fe 2.21
O: 0.6934 0.2396 0.1255 (multiplicity 1)  2 Sb 1.99-2.03, 1 Li 2.00
O: 0.8005 0.7347 0.1267 (multiplicity 1)  1 Li 1.99, 2 Sb 2.01-2.05
O: 0.8437 0.0951 0.7631 (multiplicity 1)  2 Sb 2.01-2.03, 1 Li 2.01
O: 0.8540 0.4063 0.4587 (multiplicity 1)  1 Fe 1.99, 2 Sb 2.05-2.12


Record 4
The following is a DFT calculation (GGA-PBEsol) of BaCrPb after structural relaxation.

V: 31.69 Å³/atom
formation energy from the elements: 0.41 eV/atom

Lattice parameters (Å, degrees): 7.2451 7.2451 7.2451 90.00 90.00 90.00
With the nearest neighbours (Å) after each atom.
Space group F-43m (No. 216)
Inequivalent atoms, fractional coordinates:
Ba: 0.0000 0.0000 0.0000 (multiplicity 4)  4 Cr 3.14
Cr: 0.2500 0.2500 0.7500 (multiplicity 4)  4 Ba 3.14, 4 Pb 3.14
Pb: 0.0000 0.0000 0.5000 (multiplicity 4)  4 Cr 3.14


no.,density of states at the Fermi level (states/eV per atom),size of the total moment (Bohr magnetons per cell)
1,0.96,1.8
2,0.70,0.0
3,0.30,4.0
4,0.93,16.1